No. 1
CdAgB2 PBE-GGA optimized geometry; space group = F-43m, No. 216; final energy = -10.42 eV/cell
1.0
0.000 3.071 3.071
3.071 0.000 3.071
3.071 3.071 0.000
Cd Ag B
1 1 2
Cartesian
0.000 0.000 0.000
4.606 4.606 4.606
1.535 1.535 1.535
3.071 3.071 3.071


No. 2
CdAgB PBE-GGA optimized geometry; excess energy over the best structure of this formula in the dataset = 0.000 eV/atom; space group = F-43m, No. 216; final energy = -6.95 eV/cell
1.0
0.000 3.020 3.020
3.020 0.000 3.020
3.020 3.020 0.000
Cd Ag B
1 1 1
Cartesian
0.000 0.000 0.000
4.530 4.530 4.530
3.020 3.020 3.020


No. 3
CdCoAgB PBE-GGA optimized geometry; excess energy over the best structure of this formula in the dataset = 0.000 eV/atom; space group = F-43m, No. 216; final energy = -13.86 eV/cell
1.0
0.000 3.034 3.034
3.034 0.000 3.034
3.034 3.034 0.000
Cd Co Ag B
1 1 1 1
Cartesian
0.000 0.000 0.000
4.551 4.551 4.551
1.517 1.517 1.517
3.034 3.034 3.034


No. 4
CdFeAgB PBE-GGA optimized geometry; excess energy over the best structure of this formula in the dataset = 0.000 eV/atom; space group = F-43m, No. 216; final energy = -15.01 eV/cell
1.0
0.000 3.083 3.083
3.083 0.000 3.083
3.083 3.083 0.000
Cd Fe Ag B
1 1 1 1
Cartesian
0.000 0.000 0.000
3.083 3.083 3.083
4.625 4.625 4.625
1.542 1.542 1.542


No. 5
CdNiAgB PBE-GGA optimized geometry; space group = F-43m, No. 216; final energy = -12.80 eV/cell
1.0
0.000 3.035 3.035
3.035 0.000 3.035
3.035 3.035 0.000
Cd Ni Ag B
1 1 1 1
Cartesian
0.000 0.000 0.000
4.552 4.552 4.552
3.035 3.035 3.035
1.517 1.517 1.517


No. 6
AgBCl6 PBE-GGA optimized geometry; space group = F-43m, No. 216; final energy = -20.29 eV/cell
1.0
0.000 4.495 4.495
4.495 0.000 4.495
4.495 4.495 0.000
Ag B Cl
1 1 6
Cartesian
0.000 0.000 0.000
6.743 6.743 6.743
6.743 6.743 4.665
6.743 4.665 6.743
8.821 6.743 6.743
4.665 6.743 6.743
6.743 8.821 6.743
6.743 6.743 8.821


No. 7
CoAgB PBE-GGA optimized geometry; excess energy over the best structure of this formula in the dataset = 0.000 eV/atom; space group = F-43m, No. 216; final energy = -13.27 eV/cell
1.0
0.000 2.707 2.707
2.707 0.000 2.707
2.707 2.707 0.000
Co Ag B
1 1 1
Cartesian
0.000 0.000 0.000
4.060 4.060 4.060
1.353 1.353 1.353


No. 8
CoAg2B PBE-GGA optimized geometry; excess energy over the best structure of this formula in the dataset = 0.000 eV/atom; space group = F-43m, No. 216; final energy = -15.69 eV/cell
1.0
0.000 2.982 2.982
2.982 0.000 2.982
2.982 2.982 0.000
Co Ag B
1 2 1
Cartesian
0.000 0.000 0.000
2.982 2.982 2.982
4.473 4.473 4.473
1.491 1.491 1.491


No. 9
CoAgB4 PBE-GGA optimized geometry; excess energy over the best structure of this formula in the dataset = 0.184 eV/atom; space group = Immm, No. 71; final energy = -33.85 eV/cell
1.0
-1.484 2.627 3.547
1.484 -2.627 3.547
1.484 2.627 -3.547
Co Ag B
1 1 4
Cartesian
0.000 0.000 0.000
0.000 0.000 3.547
1.484 -0.859 1.679
1.484 0.859 1.679
0.000 1.768 1.869
0.000 3.486 1.869


No. 10
CoAg2B PBE-GGA optimized geometry; excess energy over the best structure of this formula in the dataset = 0.102 eV/atom; space group = Cmcm, No. 63; final energy = -30.56 eV/cell
1.0
1.375 -2.381 0.000
1.375 2.381 0.000
0.000 0.000 17.712
Co Ag B
2 4 2
Cartesian
1.375 1.566 13.284
1.375 -1.566 4.428
1.375 1.589 10.644
1.375 1.589 15.924
1.375 -1.589 1.788
1.375 -1.589 7.068
1.375 0.000 0.000
1.375 0.000 8.856


No. 11
CoAgB4 PBE-GGA optimized geometry; excess energy over the best structure of this formula in the dataset = 0.000 eV/atom; space group = P6/mmm, No. 191; final energy = -34.95 eV/cell
1.0
2.989 0.000 0.000
-1.494 2.588 0.000
0.000 0.000 7.238
Co Ag B
1 1 4
Cartesian
0.000 0.000 0.000
0.000 0.000 3.619
0.000 1.726 1.402
0.000 1.726 5.836
1.494 0.863 1.402
1.494 0.863 5.836


No. 12
FeCoAgB PBE-GGA optimized geometry; excess energy over the best structure of this formula in the dataset = 0.000 eV/atom; space group = F-43m, No. 216; final energy = -22.11 eV/cell
1.0
0.000 2.842 2.842
2.842 0.000 2.842
2.842 2.842 0.000
Fe Co Ag B
1 1 1 1
Cartesian
0.000 0.000 0.000
4.264 4.264 4.264
2.842 2.842 2.842
1.421 1.421 1.421